NaCuTcPd2 | the Alexandria database | GGA-PBE | optimized geometry; E_tot = -3.5398 eV per atom; space-group type = No. 123
1.0
4.579 0.000 0.000
0.000 4.579 0.000
0.000 0.000 4.789
Na Cu Tc Pd
1 1 1 2
direct
0.000 0.000 0.000 Na
0.500 0.500 0.500 Cu
0.000 0.000 0.500 Tc
0.000 0.500 0.000 Pd
0.500 0.000 0.000 Pd